Record 1
Zr6Fe2N | GGA-PBE | optimized geometry Values from VASP.

Quantum ESPRESSO input file:
```
&SYSTEM
  ibrav = 0, nat = 18, ntyp = 3
/
ATOMIC_SPECIES
Zr 91.22 Zr.upf
Fe 55.84 Fe.upf
N 14.01 N.upf
ATOMIC_POSITIONS angstrom
Zr 6.0282 -6.2863 0.4718
Zr 4.2637 -4.9637 -3.6379
Zr 1.4407 -3.2940 -2.8851
Zr -0.9597 -4.3803 -4.6297
Zr 3.6278 -7.3727 -1.2727
Zr 6.6166 -7.1376 -2.5912
Zr -1.5481 -3.5290 -1.5666
Zr 1.2674 -2.0697 0.3386
Zr 3.6553 -4.1089 -0.5212
Zr 0.8048 -5.7029 -0.5199
Zr 3.8012 -8.5969 -4.4964
Zr 1.4132 -6.5577 -3.6367
Fe -0.9174 -5.8781 -2.6249
Fe 5.9860 -4.7885 -1.5329
Fe 3.3452 -6.2935 0.9510
Fe 1.7233 -4.3731 -5.1089
N 3.1701 -2.8344 1.3628
N -0.6359 -2.4989 -3.4417
CELL_PARAMETERS angstrom
-3.4635 -4.6145 -0.9875
2.1918 -0.3833 -5.8959
6.3402 -5.6688 2.7256
```

Properties
- Space-group type: No. 14
- Raw total energy: -8.982 eV per atom
- Density: 6.8 Mg/m³

=====

Record 2
Zr3Fe3N | GGA-PBE | optimized geometry Values from VASP.

Quantum ESPRESSO input file:
```
&SYSTEM
  ibrav = 0, nat = 28, ntyp = 3
/
ATOMIC_SPECIES
Fe 55.84 Fe.upf
N 14.01 N.upf
Zr 91.22 Zr.upf
ATOMIC_POSITIONS angstrom
Fe 4.0927 2.8940 7.0887
Fe 5.7679 5.6530 12.5614
Fe 7.9945 5.6530 11.2759
Fe 2.4174 4.2735 8.3743
Fe 4.0927 2.8940 9.6598
Fe 4.8349 4.9932 8.3743
Fe 7.2523 3.5537 12.5614
Fe 6.0436 4.2735 6.2807
Fe 7.9945 5.6530 13.8469
Fe 6.3193 2.8940 8.3743
Fe 4.8349 0.8547 8.3743
Fe 6.0436 4.2735 10.4678
N 1.2087 0.8547 6.2807
N 2.4174 4.2735 4.1871
N 1.2087 0.8547 2.0936
N 4.8349 0.8547 4.1871
Zr 3.3605 5.5039 10.9280
Zr 6.3093 1.3337 5.8206
Zr 3.3605 0.3757 5.8206
Zr 3.3605 0.3757 2.5537
Zr 6.3093 1.3337 10.9280
Zr 3.3605 5.5039 5.8206
Zr 4.3036 3.0431 4.1871
Zr 1.4744 3.0431 5.8206
Zr 7.7837 5.5039 8.3743
Zr 1.8861 1.3337 8.3743
Zr 0.5313 0.3757 4.1871
Zr 1.4744 3.0431 2.5537
CELL_PARAMETERS angstrom
7.2523 0.0000 4.1871
2.4174 6.8376 4.1871
0.0000 0.0000 8.3743
```

Properties
- Space-group type: No. 227
- Raw total energy: -9.126 eV per atom
- Density: 7.3 Mg/m³

=====

Record 3
ZrFe2N | GGA-PBE | optimized geometry Values from VASP.

Quantum ESPRESSO input file:
```
&SYSTEM
  ibrav = 0, nat = 8, ntyp = 3
/
ATOMIC_SPECIES
Zr 91.22 Zr.upf
N 14.01 N.upf
Fe 55.84 Fe.upf
ATOMIC_POSITIONS angstrom
Zr -3.2314 -3.5624 5.4857
Zr 0.0000 0.0000 0.0000
N -0.6688 -3.1249 3.2405
N 1.2696 -4.0880 5.9078
Fe -2.1706 -6.0122 8.8467
Fe 0.8751 -3.3175 4.2608
Fe -2.1903 -2.0702 3.0562
Fe -0.4377 -3.9010 6.6233
CELL_PARAMETERS angstrom
-5.1697 -2.5993 2.8184
3.8322 -3.6505 3.6626
-0.6242 -1.4006 4.9125
```

Properties
- Space-group type: No. 122
- Raw total energy: -8.637 eV per atom
- Density: 7.2 Mg/m³

=====

Record 4
ZrFe4N2 | GGA-PBE | optimized geometry Values from VASP.

Quantum ESPRESSO input file:
```
&SYSTEM
  ibrav = 0, nat = 7, ntyp = 3
/
ATOMIC_SPECIES
Fe 55.84 Fe.upf
Zr 91.22 Zr.upf
N 14.01 N.upf
ATOMIC_POSITIONS angstrom
Fe -1.7444 1.1369 0.9951
Fe 0.0335 -1.4904 1.7616
Fe -1.6787 0.8462 6.7941
Fe -0.1306 1.0547 3.9179
Zr 0.0000 0.0000 0.0000
N -1.3013 0.0115 3.0576
N -0.5081 1.8894 7.6544
CELL_PARAMETERS angstrom
-3.4887 2.2738 1.9901
0.0671 -2.9807 3.5231
1.6123 2.6079 5.1988
```

Properties
- Space-group type: No. 139
- Raw total energy: -7.001 eV per atom
- Density: 5.3 Mg/m³